Run w
# PBrN2F

A relaxed PBrN2F crystal (GGA-PBE, the Alexandria database).

Results
mass density	4.9	g/cm3
spin magnetization	0.00	μB per atom

Lattice parameters (Å, degrees): 3.699 3.699 3.886 90.00 90.00 90.00
Fractional coordinates of all 5 atoms:
1 Br 0.500 0.500 0.500
2 P 0.000 0.000 0.000
3 F 0.000 0.000 0.500
4 N 0.000 0.500 0.000
5 N 0.500 0.000 0.000

---

Run x
# PBrN2F

A relaxed PBrN2F crystal (GGA-PBE, the Alexandria database).

Results
mass density	3.8	g/cm3
spin magnetization	0.00	μB per atom

Lattice parameters (Å, degrees): 4.127 4.127 4.013 90.00 90.00 90.00
Fractional coordinates of all 5 atoms:
1 N 0.500 0.000 0.000
2 Br 0.000 0.000 0.000
3 F 0.000 0.000 0.500
4 N 0.000 0.500 0.000
5 P 0.500 0.500 0.500

---

Bottom line: run w, by a margin of 1140 meV/atom.

---

Run w
# PdBrNF2

A relaxed PdBrNF2 crystal (GGA-PBE, the Alexandria database).

Results
mass density	4.9	g/cm3
spin magnetization	0.18	μB per atom

Lattice parameters (Å, degrees): 4.690 4.690 3.650 90.00 90.00 90.00
Each line ends with the local moment (μB).
Fractional coordinates of all 5 atoms:
1 Br 0.000 0.000 0.000  0.01
2 N 0.000 0.000 0.500  0.06
3 Pd 0.500 0.500 0.500  0.73
4 F 0.000 0.500 0.000  0.01
5 F 0.500 0.000 0.000  0.01

---

Run x
# PdBrNF2

A relaxed PdBrNF2 crystal (GGA-PBE, the Alexandria database).

Results
mass density	5.5	g/cm3
spin magnetization	0.12	μB per atom

Lattice parameters (Å, degrees): 4.299 4.299 3.871 90.00 90.00 90.00
Each line ends with the local moment (μB).
Fractional coordinates of all 5 atoms:
1 F 0.000 0.500 0.000  -0.07
2 F 0.500 0.000 0.000  -0.07
3 Br 0.500 0.500 0.500  -0.39
4 Pd 0.000 0.000 0.000  0.01
5 N 0.000 0.000 0.500  0.04

---

Bottom line: run x, by a margin of 559 meV/atom.

---

Run w
# PtBrNF2

A relaxed PtBrNF2 crystal (GGA-PBE, the Alexandria database).

Results
mass density	7.3	g/cm3
spin magnetization	0.20	μB per atom

Lattice parameters (Å, degrees): 4.467 4.467 3.738 90.00 90.00 90.00
Each line ends with the local moment (μB).
Fractional coordinates of all 5 atoms:
1 Br 0.500 0.500 0.500  -0.62
2 N 0.000 0.000 0.500  -0.06
3 F 0.500 0.000 0.000  -0.07
4 Pt 0.000 0.000 0.000  0.03
5 F 0.000 0.500 0.000  -0.07

---

Run x
# PtBrNF2

A relaxed PtBrNF2 crystal (GGA-PBE, the Alexandria database).

Results
mass density	6.7	g/cm3
spin magnetization	0.21	μB per atom

Lattice parameters (Å, degrees): 4.718 4.718 3.617 90.00 90.00 90.00
Each line ends with the local moment (μB).
Fractional coordinates of all 5 atoms:
1 Br 0.000 0.000 0.000  0.01
2 Pt 0.500 0.500 0.500  0.86
3 N 0.000 0.000 0.500  0.06
4 F 0.000 0.500 0.000  0.02
5 F 0.500 0.000 0.000  0.02

---

Bottom line: run w, by a margin of 1011 meV/atom.